## one
! Ac2PmSi | the Alexandria database | PBE | relaxed; values from VASP
! - Volume: 31.747 Å³/atom
! - Magnetization: 0.00 μB/f.u.
! - Symmetry: P4/mmm, No. 123
&SYSTEM
  ibrav = 0, nat = 4, ntyp = 3
/
ATOMIC_SPECIES
Ac 227.00 Ac.upf
Pm 145.00 Pm.upf
Si 28.09 Si.upf
CELL_PARAMETERS angstrom
-3.986 -1.923 -2.059
0.058 -3.783 3.421
-2.943 2.769 3.112
ATOMIC_POSITIONS angstrom
Ac 0.029 -1.892 1.710
Pm -1.993 -0.961 -1.029
Si -3.436 -1.469 2.237
Ac -1.472 1.384 1.556

=====

## two
! Ac2PmSi | the Alexandria database | PBE | relaxed; values from VASP
! - Volume: 39.221 Å³/atom
! - Magnetization: 0.00 μB/f.u.
! - Symmetry: P1, No. 1
&SYSTEM
  ibrav = 0, nat = 4, ntyp = 3
/
ATOMIC_SPECIES
Pm 145.00 Pm.upf
Ac 227.00 Ac.upf
Si 28.09 Si.upf
CELL_PARAMETERS angstrom
-0.994 3.248 -2.558
3.242 -2.326 -4.214
-6.174 -3.676 1.251
ATOMIC_POSITIONS angstrom
Pm 1.159 0.436 -3.431
Ac -2.149 -1.652 -4.811
Ac -1.729 -1.136 -0.773
Si -6.637 -2.077 -0.073

=====

## three
! Ac2PmSi | the Alexandria database | PBE | relaxed; values from VASP
! - Volume: 32.797 Å³/atom
! - Magnetization: 0.00 μB/f.u.
! - Symmetry: Fm-3m, No. 225
&SYSTEM
  ibrav = 0, nat = 4, ntyp = 3
/
ATOMIC_SPECIES
Pm 145.00 Pm.upf
Ac 227.00 Ac.upf
Si 28.09 Si.upf
CELL_PARAMETERS angstrom
5.703 0.000 0.000
2.852 4.939 0.000
2.852 1.646 4.657
ATOMIC_POSITIONS angstrom
Pm 0.000 0.000 0.000
Ac 2.852 1.646 1.164
Si 5.703 3.293 2.328
Ac 8.555 4.939 3.493

=====

## four
! Ac2PmSi | the Alexandria database | PBE | relaxed; values from VASP
! - Volume: 34.406 Å³/atom
! - Magnetization: 0.00 μB/f.u.
! - Symmetry: P4/mmm, No. 123
&SYSTEM
  ibrav = 0, nat = 4, ntyp = 3
/
ATOMIC_SPECIES
Pm 145.00 Pm.upf
Si 28.09 Si.upf
Ac 227.00 Ac.upf
CELL_PARAMETERS angstrom
-0.309 0.866 3.890
1.955 -3.367 0.904
7.482 4.251 -0.352
ATOMIC_POSITIONS angstrom
Pm 4.564 0.874 2.222
Si 0.823 -1.251 2.397
Ac 6.022 3.421 -0.283
Ac 1.460 0.829 -0.069

=====

Name the most stable of them. four.

=====

## one
! AcPm2Si | the Alexandria database | PBE | relaxed; values from VASP
! - Volume: 30.390 Å³/atom
! - Magnetization: 0.00 μB/f.u.
! - Symmetry: P4/mmm, No. 123
&SYSTEM
  ibrav = 0, nat = 4, ntyp = 3
/
ATOMIC_SPECIES
Si 28.09 Si.upf
Pm 145.00 Pm.upf
Ac 227.00 Ac.upf
CELL_PARAMETERS angstrom
3.897 0.000 0.000
0.000 3.897 0.000
0.000 0.000 8.004
ATOMIC_POSITIONS angstrom
Si 1.949 1.949 0.000
Pm 0.000 0.000 6.528
Ac 1.949 1.949 4.002
Pm 0.000 0.000 1.476

=====

## two
! AcPm2Si | the Alexandria database | PBE | relaxed; values from VASP
! - Volume: 31.622 Å³/atom
! - Magnetization: 0.00 μB/f.u.
! - Symmetry: Pmmn, No. 59
&SYSTEM
  ibrav = 0, nat = 8, ntyp = 3
/
ATOMIC_SPECIES
Si 28.09 Si.upf
Pm 145.00 Pm.upf
Ac 227.00 Ac.upf
CELL_PARAMETERS angstrom
-0.482 2.645 -3.841
-6.654 -0.684 0.363
-0.428 6.600 4.598
ATOMIC_POSITIONS angstrom
Si -0.550 6.096 1.405
Pm -5.446 5.132 4.216
Pm -1.940 5.492 4.025
Pm -2.055 2.088 -1.166
Ac -3.814 4.788 0.914
Si -3.445 1.484 1.454
Ac -0.181 2.792 1.945
Pm -5.203 1.764 -0.994

=====

Name the most stable of them. one.

=====

## one
! AcPm2Si | the Alexandria database | PBE | relaxed; values from VASP
! - Volume: 35.017 Å³/atom
! - Magnetization: 0.00 μB/f.u.
! - Symmetry: R3m, No. 160
&SYSTEM
  ibrav = 0, nat = 4, ntyp = 3
/
ATOMIC_SPECIES
Ac 227.00 Ac.upf
Si 28.09 Si.upf
Pm 145.00 Pm.upf
CELL_PARAMETERS angstrom
4.141 0.000 0.000
2.070 3.586 0.000
2.070 1.195 9.432
ATOMIC_POSITIONS angstrom
Ac 4.141 2.391 4.660
Si 4.141 2.391 0.031
Pm 2.070 1.195 7.812
Pm 2.070 1.195 1.645

=====

## two
! AcPm2Si | the Alexandria database | PBE | relaxed; values from VASP
! - Volume: 28.929 Å³/atom
! - Magnetization: 0.00 μB/f.u.
! - Symmetry: Fm-3m, No. 225
&SYSTEM
  ibrav = 0, nat = 4, ntyp = 3
/
ATOMIC_SPECIES
Si 28.09 Si.upf
Pm 145.00 Pm.upf
Ac 227.00 Ac.upf
CELL_PARAMETERS angstrom
-5.265 0.268 1.459
-1.371 0.057 5.295
-1.981 4.568 2.263
ATOMIC_POSITIONS angstrom
Si -4.309 2.447 4.509
Pm -2.154 1.223 2.254
Ac 0.000 0.000 0.000
Pm -6.463 3.670 6.763

=====

Name the most stable of them. one.

=====

## one
! AcPm2Si | the Alexandria database | PBE | relaxed; values from VASP
! - Volume: 29.155 Å³/atom
! - Magnetization: 0.00 μB/f.u.
! - Symmetry: P4/mmm, No. 123
&SYSTEM
  ibrav = 0, nat = 4, ntyp = 3
/
ATOMIC_SPECIES
Pm 145.00 Pm.upf
Ac 227.00 Ac.upf
Si 28.09 Si.upf
CELL_PARAMETERS angstrom
4.859 0.000 0.000
0.000 4.899 0.000
0.000 0.000 4.899
ATOMIC_POSITIONS angstrom
Pm 0.000 2.449 0.000
Pm 0.000 0.000 2.449
Ac 2.430 2.449 2.449
Si 2.430 0.000 0.000

=====

## two
! AcPm2Si | the Alexandria database | PBE | relaxed; values from VASP
! - Volume: 35.389 Å³/atom
! - Magnetization: 0.00 μB/f.u.
! - Symmetry: R-3m, No. 166
&SYSTEM
  ibrav = 0, nat = 4, ntyp = 3
/
ATOMIC_SPECIES
Pm 145.00 Pm.upf
Si 28.09 Si.upf
Ac 227.00 Ac.upf
CELL_PARAMETERS angstrom
4.124 0.000 0.000
2.062 3.572 0.000
2.062 1.191 9.609
ATOMIC_POSITIONS angstrom
Pm 6.187 3.572 6.443
Si 4.124 2.381 4.804
Ac 0.000 0.000 0.000
Pm 2.062 1.191 3.166

=====

Name the most stable of them. two.